Record 1
First-principles (GGA-PBE) data for crystalline P6Pd12Pb at its relaxed geometry, as listed in the Alexandria database.

Results
theoretical density	8.85	Mg/m³
E	-105.15	eV for the cell shown
volume	16.50	Å³ per atom

Unit cell a=7.101 b=7.101 c=7.101 alpha=104.94 beta=104.94 gamma=104.94
Positions (direct):
P 0.241 0.241 0.671
P 0.241 0.671 0.241
P 0.329 0.759 0.759
P 0.671 0.241 0.241
P 0.759 0.329 0.759
P 0.759 0.759 0.329
Pd 0.127 0.500 0.873
Pd 0.127 0.873 0.500
Pd 0.178 0.443 0.443
Pd 0.443 0.178 0.443
Pd 0.443 0.443 0.178
Pd 0.500 0.127 0.873
Pd 0.500 0.873 0.127
Pd 0.557 0.557 0.822
Pd 0.557 0.822 0.557
Pd 0.822 0.557 0.557
Pd 0.873 0.127 0.500
Pd 0.873 0.500 0.127
Pb 0.000 0.000 0.000

Record 2
First-principles (GGA-PBE) data for crystalline PPd4Pb at its relaxed geometry, as listed in the Alexandria database.

Results
theoretical density	10.36	Mg/m³
offset from the most stable computed form	12	kJ/mol of formula units
E	-63.62	eV for the cell shown
volume	17.74	Å³ per atom

Unit cell a=7.200 b=7.200 c=5.499 alpha=97.06 beta=97.06 gamma=48.92
Positions (direct):
P 0.000 0.500 0.000
P 0.500 0.000 0.500
Pd 0.029 0.165 0.910
Pd 0.165 0.029 0.410
Pd 0.223 0.405 0.378
Pd 0.405 0.223 0.878
Pd 0.595 0.777 0.122
Pd 0.777 0.595 0.622
Pd 0.835 0.971 0.590
Pd 0.971 0.835 0.090
Pb 0.344 0.656 0.750
Pb 0.656 0.344 0.250

Record 3
First-principles (GGA-PBE) data for crystalline PrP2Pd7Pb2 at its relaxed geometry, as listed in the Alexandria database.

Results
theoretical density	9.49	Mg/m³
E	-65.28	eV for the cell shown
volume	19.86	Å³ per atom

Unit cell a=4.598 b=4.598 c=11.419 alpha=93.56 beta=93.56 gamma=97.42
Positions (direct):
Pr 0.000 0.000 0.000
P 0.321 0.321 0.806
P 0.679 0.679 0.194
Pd 0.157 0.567 0.203
Pd 0.368 0.368 0.604
Pd 0.433 0.843 0.797
Pd 0.500 0.500 0.000
Pd 0.567 0.157 0.203
Pd 0.632 0.632 0.396
Pd 0.843 0.433 0.797
Pb 0.132 0.132 0.379
Pb 0.868 0.868 0.621

Record 4
First-principles (GGA-PBE) data for crystalline P3PdPt12Pb2 at its relaxed geometry, as listed in the Alexandria database.

Results
theoretical density	14.33	Mg/m³
E	-103.35	eV for the cell shown
volume	19.03	Å³ per atom

Unit cell a=7.583 b=7.583 c=7.583 alpha=65.09 beta=65.09 gamma=65.09
Positions (direct):
P 0.000 0.500 0.500
P 0.500 0.000 0.500
P 0.500 0.500 0.000
Pd 0.500 0.500 0.500
Pt 0.113 0.635 0.635
Pt 0.143 0.143 0.609
Pt 0.143 0.609 0.143
Pt 0.365 0.365 0.887
Pt 0.365 0.887 0.365
Pt 0.391 0.857 0.857
Pt 0.609 0.143 0.143
Pt 0.635 0.113 0.635
Pt 0.635 0.635 0.113
Pt 0.857 0.391 0.857
Pt 0.857 0.857 0.391
Pt 0.887 0.365 0.365
Pb 0.111 0.111 0.111
Pb 0.889 0.889 0.889

Record 5
First-principles (GGA-PBE) data for crystalline PPd2PbS at its relaxed geometry, as listed in the Alexandria database.

Results
theoretical density	6.04	Mg/m³
formation energy (no corrections)	1.249	eV/atom
E	-17.39	eV for the cell shown
volume	26.55	Å³ per atom

Unit cell a=5.120 b=5.120 c=5.064 alpha=90.00 beta=90.00 gamma=90.00
Positions (direct):
P 0.000 0.000 0.000
Pd 0.000 0.500 0.500
Pd 0.500 0.000 0.500
Pb 0.000 0.000 0.500
S 0.500 0.500 0.000

Record 6
First-principles (GGA-PBE) data for crystalline P2PdPbS at its relaxed geometry, as listed in the Alexandria database.

Results
theoretical density	6.08	Mg/m³
formation energy (no corrections)	0.431	eV/atom
offset from the most stable computed form	0	kJ/mol of formula units
E	-21.69	eV for the cell shown
volume	22.26	Å³ per atom

Unit cell a=4.626 b=4.626 c=5.200 alpha=90.00 beta=90.00 gamma=90.00
Positions (direct):
P 0.000 0.500 0.000
P 0.500 0.000 0.000
Pd 0.000 0.000 0.000
Pb 0.500 0.500 0.500
S 0.000 0.000 0.500